Record 1
Below is a relaxed structure of LiErTlIr, with properties calculated at the PBE level.

The structure in POSCAR format:
```
LiErTlIr
1.0
4.7781 0.0000 0.0000
2.3890 4.1380 0.0000
2.3890 1.3793 3.9013
Ir Li Er Tl
1 1 1 1
Direct
0.5000 0.5000 0.5000 Ir
0.0000 0.0000 0.0000 Li
0.2500 0.2500 0.2500 Er
0.7500 0.7500 0.7500 Tl
```

Energy of formation from the pure elements   -0.3658 eV/atom
Space-group type   No. 216

Record 2
Below is a relaxed structure of TlZnAg2, with properties calculated at the PBE level.

The structure in POSCAR format:
```
TlZnAg2
1.0
4.1999 0.0000 0.0000
0.0000 4.1999 0.0000
0.0000 0.0000 4.4286
Zn Ag Tl
1 2 1
Direct
0.0000 0.5000 0.5000 Zn
0.5000 0.5000 0.0000 Ag
0.0000 0.0000 0.0000 Ag
0.5000 0.0000 0.5000 Tl
```

Energy of formation from the pure elements   0.1422 eV/atom
Space-group type   No. 123

Record 3
Below is a relaxed structure of GaAuSeBr2, with properties calculated at the PBE level.

The structure in POSCAR format:
```
GaAuSeBr2
1.0
-0.1352 3.4718 -3.6151
1.4059 -3.4450 -3.3610
-5.0842 -1.1670 -0.9305
Br Ga Au Se
2 1 1 1
Direct
0.5000 0.0000 0.0000 Br
0.0000 0.5000 0.0000 Br
0.0000 0.0000 0.0000 Ga
0.5000 0.5000 0.5000 Au
0.0000 0.0000 0.5000 Se
```

Relative energy among the computed polymorphs   166 meV/atom
Space-group type   No. 123

Record 4
Below is a relaxed structure of ZrCuSnPd2, with properties calculated at the PBE level.

The structure in POSCAR format:
```
ZrCuSnPd2
1.0
-1.1210 -0.5591 -4.7520
-4.6273 -2.3385 1.3667
-2.2151 4.3868 0.0064
Cu Pd Sn Zr
1 2 1 1
Direct
0.5000 0.5000 0.5000 Cu
0.5000 0.0000 0.0000 Pd
0.0000 0.0000 0.5000 Pd
0.0000 0.0000 0.0000 Sn
0.0000 0.5000 0.0000 Zr
```

Energy of formation from the pure elements   0.8928 eV/atom
Space-group type   No. 123

Record 5
Below is a relaxed structure of SrTcRu2, with properties calculated at the PBE level.

The structure in POSCAR format:
```
SrTcRu2
1.0
-2.5562 -1.5634 0.2861
1.7170 -3.3805 -3.1317
1.8652 -2.3902 3.6027
Ru Sr Tc
2 1 1
Direct
0.5000 0.5000 0.0000 Ru
0.0000 0.0000 0.0000 Ru
0.5000 0.0000 0.5000 Sr
0.0000 0.5000 0.5000 Tc
```

Energy of formation from the pure elements   1.0094 eV/atom
Relative energy among the computed polymorphs   532 meV/atom
Space-group type   No. 47

Record 6
Below is a relaxed structure of BaZrBiRh2, with properties calculated at the PBE level.

The structure in POSCAR format:
```
BaZrBiRh2
1.0
-4.9188 -0.5127 -0.2431
0.7148 -5.8568 -2.1116
-0.0544 -1.6852 4.6556
Ba Rh Zr Bi
1 2 1 1
Direct
0.0000 0.0000 0.0000 Ba
0.0000 0.0000 0.5000 Rh
0.5000 0.0000 0.0000 Rh
0.5000 0.5000 0.5000 Zr
0.0000 0.5000 0.0000 Bi
```

Energy of formation from the pure elements   1.4719 eV/atom
Space-group type   No. 123